Compound: Pr3Ho8Sc
Source: Alexandria
Functional: PBE
Structure: optimized geometry

a = 8.3600 Å, b = 8.3600 Å, c = 8.3600 Å
α = 95.15°, β = 117.07°, γ = 117.07°
Closest atoms and distances in Å follow each position.
Positions (direct):
Ho 0.0000 0.8873 0.6362  3 Ho 3.10-3.27, 1 Sc 3.10, 3 Pr 3.33-3.45
Ho 0.0000 0.2596 0.7943  1 Sc 2.89, 1 Ho 3.17
Ho 0.7490 0.1127 0.1127  3 Ho 3.10-3.27, 1 Sc 3.10, 3 Pr 3.33-3.45
Ho 0.0000 0.7943 0.2596  1 Sc 2.89, 1 Ho 3.17
Ho 0.5348 0.7404 0.7404  1 Sc 2.89, 1 Ho 3.17
Ho 0.4652 0.2057 0.2057  1 Sc 2.89, 1 Ho 3.17
Ho 0.0000 0.6362 0.8873  3 Ho 3.10-3.27, 1 Sc 3.10, 3 Pr 3.33-3.45
Ho 0.2510 0.3638 0.3638  3 Ho 3.10-3.27, 1 Sc 3.10, 3 Pr 3.33-3.45
Pr 0.5000 0.7500 0.2500  4 Ho 3.45
Pr 0.5000 0.2500 0.7500  4 Ho 3.45
Pr 0.0000 0.5000 0.5000  8 Ho 3.31-3.33
Sc 0.0000 0.0000 0.0000  8 Ho 2.89-3.10

Calculated values
Crystal system: tetragonal
Space group: I-42m (121)
Calculated total energy: -4.1870 eV/atom
Size of the total moment: 0.000 μB per atom

=====

Compound: PrHo3Sc2
Source: Alexandria
Functional: PBE
Structure: optimized geometry

a = 3.4028 Å, b = 9.9192 Å, c = 11.4486 Å
α = 107.83°, β = 98.55°, γ = 90.00°
Closest atoms and distances in Å follow each position.
Positions (direct):
Ho 0.0663 0.7668 0.1326  8 Ho 3.40-3.65, 2 Sc 3.44-3.71, 2 Pr 3.59
Ho 0.4397 0.5623 0.8794  3 Sc 3.23-3.44, 6 Ho 3.33-3.41
Ho 0.3030 0.2917 0.6060  3 Sc 3.27-3.34, 5 Ho 3.40-3.61, 3 Pr 3.48-3.50
Ho 0.5603 0.4377 0.1206  3 Sc 3.23-3.44, 6 Ho 3.33-3.41
Ho 0.6970 0.7083 0.3940  3 Sc 3.27-3.34, 5 Ho 3.40-3.61, 3 Pr 3.48-3.50
Ho 0.9337 0.2332 0.8674  8 Ho 3.40-3.65, 2 Sc 3.44-3.71, 2 Pr 3.59
Sc 0.6921 0.3752 0.3842  1 Pr 3.20, 4 Ho 3.23-3.34, 6 Sc 3.40-3.47
Sc 0.9312 0.8569 0.8624  5 Sc 3.40-3.50, 2 Pr 3.44, 4 Ho 3.44-3.71
Sc 0.0688 0.1431 0.1376  5 Sc 3.40-3.50, 2 Pr 3.44, 4 Ho 3.44-3.71
Sc 0.3079 0.6248 0.6158  1 Pr 3.20, 4 Ho 3.23-3.34, 6 Sc 3.40-3.47
Pr 0.3188 0.9540 0.6377  3 Sc 3.20-3.44, 2 Pr 3.40, 3 Ho 3.48-3.50
Pr 0.6812 0.0460 0.3623  3 Sc 3.20-3.44, 2 Pr 3.40, 3 Ho 3.48-3.50

Calculated values
Crystal system: monoclinic
Space group: C2/m (12)
Calculated total energy: -5.0431 eV/atom
E above lowest polymorph: 0 meV/atom
Size of the total moment: 0.000 μB per atom

=====

Compound: Pr2Ho3Sc4
Source: Alexandria
Functional: PBE
Structure: optimized geometry

a = 5.8173 Å, b = 10.8673 Å, c = 10.8673 Å
α = 62.59°, β = 64.17°, γ = 64.17°
Closest atoms and distances in Å follow each position.
Positions (direct):
Ho 0.7075 0.7280 0.9538  7 Sc 3.18-3.40, 2 Pr 3.46-3.47
Ho 0.7925 0.0462 0.2720  7 Sc 3.18-3.40, 2 Pr 3.46-3.47
Ho 0.2075 0.9538 0.7280  7 Sc 3.18-3.40, 2 Pr 3.46-3.47
Ho 0.7500 0.3676 0.6324  2 Sc 3.29, 6 Pr 3.50-3.54
Ho 0.2500 0.6324 0.3676  2 Sc 3.29, 6 Pr 3.50-3.54
Ho 0.2925 0.2720 0.0462  7 Sc 3.18-3.40, 2 Pr 3.46-3.47
Sc 0.5613 0.0717 0.8298  3 Sc 3.12-3.46, 4 Ho 3.18-3.36, 1 Pr 3.37
Sc 0.8745 0.8720 0.5979  2 Sc 3.13-3.46, 4 Ho 3.29-3.40, 3 Pr 3.39-3.47
Sc 0.0613 0.8298 0.0717  3 Sc 3.12-3.46, 4 Ho 3.18-3.36, 1 Pr 3.37
Sc 0.3745 0.5979 0.8720  2 Sc 3.13-3.46, 4 Ho 3.29-3.40, 3 Pr 3.39-3.47
Sc 0.9387 0.1702 0.9283  3 Sc 3.12-3.46, 4 Ho 3.18-3.36, 1 Pr 3.37
Sc 0.4387 0.9283 0.1702  3 Sc 3.12-3.46, 4 Ho 3.18-3.36, 1 Pr 3.37
Sc 0.1255 0.1280 0.4021  2 Sc 3.13-3.46, 4 Ho 3.29-3.40, 3 Pr 3.39-3.47
Sc 0.6255 0.4021 0.1280  2 Sc 3.13-3.46, 4 Ho 3.29-3.40, 3 Pr 3.39-3.47
Pr 0.9487 0.5032 0.2490  5 Sc 3.37-3.67, 5 Ho 3.46-3.54
Pr 0.4487 0.2490 0.5032  5 Sc 3.37-3.67, 5 Ho 3.46-3.54
Pr 0.0513 0.4968 0.7510  5 Sc 3.37-3.67, 5 Ho 3.46-3.54
Pr 0.5513 0.7510 0.4968  5 Sc 3.37-3.67, 5 Ho 3.46-3.54

Calculated values
Crystal system: monoclinic
Space group: C2/c (15)
Calculated total energy: -5.2929 eV/atom
Size of the total moment: 0.000 μB per atom